No. 1
Computed, not measured: a geometry-optimized SnHgAu2 structure at the GGA-PBE level of DFT.

abc: 7.7924 7.7924 7.7924
angles: 28.17 28.17 28.17
Closest atoms and distances in Å follow each position.
Atoms (fractional coordinates):
1 Sn 0.0000 0.0000 0.0000  6 Au 2.84-2.86
2 Hg 0.1681 0.1681 0.1681  6 Au 2.90-2.92
3 Au 0.4151 0.4151 0.4151  3 Sn 2.86, 3 Hg 2.92
4 Au 0.5860 0.5860 0.5860  3 Sn 2.84, 3 Hg 2.90

Calculated values
DFT formation energy	-0.1	eV/f.u.
SG	R3m
total magnetization	0.00	μB per formula unit



No. 2
Computed, not measured: a geometry-optimized MnSbRuRh structure at the GGA-PBE level of DFT.

abc: 4.4417 4.4417 4.4417
angles: 60.00 60.00 60.00
Closest atoms and distances in Å follow each position.
Atoms (fractional coordinates):
1 Mn 0.0000 0.0000 0.0000  4 Rh 2.72, 4 Ru 2.72
2 Sb 0.5000 0.5000 0.5000  4 Rh 2.72, 4 Ru 2.72
3 Ru 0.2500 0.2500 0.2500  4 Mn 2.72, 4 Sb 2.72
4 Rh 0.7500 0.7500 0.7500  4 Sb 2.72, 4 Mn 2.72

Calculated values
formation energy without anion corrections	-215.8	meV per atom
SG	F-43m
total magnetization	5.00	μB per formula unit



No. 3
Computed, not measured: a geometry-optimized In2CoTc structure at the GGA-PBE level of DFT.

abc: 2.9299 2.9299 8.2316
angles: 90.00 90.00 90.00
Closest atoms and distances in Å follow each position.
Atoms (fractional coordinates):
1 In 0.0000 0.0000 0.0000  4 Co 2.79, 4 In 2.93
2 In 0.5000 0.5000 0.3488  4 In 2.93, 4 Tc 2.93
3 Co 0.5000 0.5000 0.7731  4 Tc 2.51, 4 In 2.79
4 Tc 0.0000 0.0000 0.6013  4 Co 2.51

Calculated values
DFT formation energy	0.9	eV/f.u.
SG	P4mm
total magnetization	0.00	μB per formula unit



No. 4
Computed, not measured: a geometry-optimized Ba2CeUN4 structure at the GGA-PBE level of DFT.

abc: 6.2660 3.6521 6.7295
angles: 90.00 107.80 90.00
Closest atoms and distances in Å follow each position.
Atoms (fractional coordinates):
1 Ba 0.0000 0.0000 0.0000  6 N 3.03-3.11
2 Ba 0.5000 0.5000 0.0000  6 N 2.89-2.93
3 Ce 0.0000 0.5000 0.5000  6 N 2.45-2.46
4 U 0.5000 0.0000 0.5000  6 N 2.17-2.32
5 N 0.2547 0.0000 0.6686  1 U 2.17
6 N 0.2942 0.5000 0.3301  2 U 2.32, 1 Ce 2.45
7 N 0.7058 0.5000 0.6699  2 U 2.32, 1 Ce 2.45
8 N 0.7453 0.0000 0.3314  1 U 2.17

Calculated values
formation energy without anion corrections	-1109.8	meV per atom
SG	P2/m
total magnetization	0.71	μB per formula unit



No. 5
Computed, not measured: a geometry-optimized Hg3GePd structure at the GGA-PBE level of DFT.

abc: 5.1956 5.1956 5.1956
angles: 90.00 90.00 90.00
Closest atoms and distances in Å follow each position.
Atoms (fractional coordinates):
1 Hg 0.0000 0.0000 0.5000  2 Pd 2.60
2 Hg 0.0000 0.5000 0.0000  2 Pd 2.60
3 Hg 0.5000 0.0000 0.0000  2 Pd 2.60
4 Ge 0.5000 0.5000 0.5000  12 Hg 3.67
5 Pd 0.0000 0.0000 0.0000  6 Hg 2.60

Calculated values
DFT formation energy	2.0	eV/f.u.
SG	Pm-3m
total magnetization	0.00	μB per formula unit



No. 6
Computed, not measured: a geometry-optimized La8CoOs3Br4 structure at the GGA-PBE level of DFT.

abc: 9.2288 9.2288 9.2288
angles: 53.73 53.73 53.73
Closest atoms and distances in Å follow each position.
Atoms (fractional coordinates):
1 La 0.2322 0.2322 0.2322  3 Os 2.86
2 La 0.2315 0.7313 0.7313  1 Co 2.85, 2 Os 2.85
3 La 0.2687 0.2687 0.7685  1 Co 2.85, 2 Os 2.85
4 La 0.2687 0.7685 0.2687  1 Co 2.85, 2 Os 2.85
5 La 0.7313 0.2315 0.7313  1 Co 2.85, 2 Os 2.85
6 La 0.7313 0.7313 0.2315  1 Co 2.85, 2 Os 2.85
7 La 0.7685 0.2687 0.2687  1 Co 2.85, 2 Os 2.85
8 La 0.7678 0.7678 0.7678  3 Os 2.86
9 Co 0.5000 0.5000 0.5000  6 La 2.85
10 Os 0.0000 0.0000 0.5000  6 La 2.85-2.86
11 Os 0.0000 0.5000 0.0000  6 La 2.85-2.86
12 Os 0.5000 0.0000 0.0000  6 La 2.85-2.86
13 Br 0.0000 0.0000 0.0000  6 La 3.41
14 Br 0.0000 0.5000 0.5000  6 La 3.39-3.40
15 Br 0.5000 0.0000 0.5000  6 La 3.39-3.40
16 Br 0.5000 0.5000 0.0000  6 La 3.39-3.40

Calculated values
formation energy without anion corrections	-820.8	meV per atom
SG	R-3m
total magnetization	0.00	μB per formula unit



No. 7
Computed, not measured: a geometry-optimized TbSmZnGe structure at the GGA-PBE level of DFT.

abc: 4.1417 5.9266 5.9266
angles: 42.03 90.00 90.00
Closest atoms and distances in Å follow each position.
Atoms (fractional coordinates):
1 Tb 0.0000 0.0000 0.0000  4 Ge 3.05, 3 Zn 3.16-3.20
2 Sm 0.5000 0.7177 0.7177  4 Zn 3.07, 3 Ge 3.11-3.23
3 Zn 0.0000 0.2890 0.2890  2 Ge 2.64
4 Ge 0.5000 0.4370 0.4370  2 Zn 2.64

Calculated values
DFT formation energy	-2.4	eV/f.u.
SG	Amm2
total magnetization	0.50	μB per formula unit



No. 8
Computed, not measured: a geometry-optimized NbTc structure at the GGA-PBE level of DFT.

abc: 2.9512 2.9512 9.1445
angles: 90.00 90.00 120.00
Closest atoms and distances in Å follow each position.
Atoms (fractional coordinates):
1 Nb 0.3333 0.6667 0.0000  4 Tc 2.50-2.68
2 Nb 0.6667 0.3333 0.5000  4 Tc 2.50-2.68
3 Tc 0.3333 0.6667 0.2736  4 Nb 2.50-2.68
4 Tc 0.6667 0.3333 0.7736  4 Nb 2.50-2.68

Calculated values
DFT formation energy	0.9	eV/f.u.
SG	P6_3mc
total magnetization	0.00	μB per formula unit



No. 9
Computed, not measured: a geometry-optimized TbCdIn2 structure at the GGA-PBE level of DFT.

abc: 5.2324 5.2324 5.2324
angles: 60.00 60.00 60.00
Closest atoms and distances in Å follow each position.
Atoms (fractional coordinates):
1 Tb 0.0000 0.0000 0.0000  8 In 3.20
2 Cd 0.5000 0.5000 0.5000  8 In 3.20
3 In 0.2500 0.2500 0.2500  4 Cd 3.20, 4 Tb 3.20
4 In 0.7500 0.7500 0.7500  4 Cd 3.20, 4 Tb 3.20

Calculated values
DFT formation energy	-0.8	eV/f.u.
SG	Fm-3m
total magnetization	0.00	μB per formula unit



No. 10
Computed, not measured: a geometry-optimized MnCdSi2 structure at the GGA-PBE level of DFT.

abc: 4.5724 4.5724 4.5724
angles: 60.00 60.00 60.00
Closest atoms and distances in Å follow each position.
Atoms (fractional coordinates):
1 Mn 0.0000 0.0000 0.0000  4 Cd 2.80, 4 Si 2.80
2 Cd 0.7500 0.7500 0.7500  4 Si 2.80, 4 Mn 2.80
3 Si 0.2500 0.2500 0.2500  4 Mn 2.80, 4 Si 2.80
4 Si 0.5000 0.5000 0.5000  4 Cd 2.80, 4 Si 2.80

Calculated values
formation energy without anion corrections	560.3	meV per atom
SG	F-43m
total magnetization	3.49	μB per formula unit



No. 11
Computed, not measured: a geometry-optimized ZrRe2Tc structure at the GGA-PBE level of DFT.

abc: 2.8219 2.8219 8.2862
angles: 90.00 90.00 90.00
Closest atoms and distances in Å follow each position.
Atoms (fractional coordinates):
1 Zr 0.0000 0.0000 0.0000  4 Zr 2.82, 8 Re 3.05
2 Re 0.5000 0.5000 0.2788  4 Tc 2.71, 4 Re 2.82
3 Re 0.5000 0.5000 0.7212  4 Tc 2.71, 4 Re 2.82
4 Tc 0.0000 0.0000 0.5000  8 Re 2.71, 4 Tc 2.82

Calculated values
DFT formation energy	0.4	eV/f.u.
SG	P4/mmm
total magnetization	0.00	μB per formula unit



No. 12
Computed, not measured: a geometry-optimized LiDyZnPt structure at the GGA-PBE level of DFT.

abc: 4.6673 4.6673 4.6673
angles: 60.00 60.00 60.00
Closest atoms and distances in Å follow each position.
Atoms (fractional coordinates):
1 Li 0.0000 0.0000 0.0000  4 Dy 2.86, 4 Zn 2.86
2 Dy 0.7500 0.7500 0.7500  4 Pt 2.86, 4 Li 2.86
3 Zn 0.2500 0.2500 0.2500  4 Li 2.86, 4 Pt 2.86
4 Pt 0.5000 0.5000 0.5000  4 Dy 2.86, 4 Zn 2.86

Calculated values
DFT formation energy	-2.5	eV/f.u.
SG	F-43m
total magnetization	0.00	μB per formula unit